Entry 1:
NdNiH6Ir | Alexandria | PBE-GGA | optimized geometry; volume = 79.7 Å³ per cell; calculated total energy = -4.728 eV/atom; space-group type = P-6m2 (187); ρ = 8.36 g/cm³; density of states at the Fermi level = 4.1 states/eV per cell
1.0
-1.968 4.111 0.979
-2.807 2.040 -3.112
-3.329 -1.997 1.693
Nd Ni H Ir
1 1 6 1
direct
0.000 0.000 0.000 Nd
0.667 0.667 0.500 Ni
0.996 0.502 0.246 H
0.502 0.996 0.754 H
0.502 0.502 0.754 H
0.996 0.502 0.754 H
0.502 0.502 0.245 H
0.502 0.996 0.246 H
0.333 0.333 0.500 Ir

---

Entry 2:
NdPHIr | Alexandria | PBE-GGA | optimized geometry; volume = 124.9 Å³ per cell; calculated total energy = -6.491 eV/atom; space-group type = P4/nmm (129); ρ = 9.80 g/cm³; density of states at the Fermi level = 2.5 states/eV per cell
1.0
3.958 0.000 0.000
0.000 3.958 0.000
0.000 0.000 7.970
Nd P H Ir
2 2 2 2
direct
0.500 0.000 0.672 Nd
0.000 0.500 0.328 Nd
0.000 0.500 0.827 P
0.500 0.000 0.173 P
0.000 0.000 0.500 H
0.500 0.500 0.500 H
0.500 0.500 0.000 Ir
0.000 0.000 0.000 Ir

---

Entry 3:
NdH6IrPd2 | Alexandria | PBE-GGA | optimized geometry; volume = 195.6 Å³ per cell; calculated total energy = -4.745 eV/atom; space-group type = P2_1/c (14); ρ = 9.43 g/cm³; density of states at the Fermi level = 1.3 states/eV per cell
1.0
-0.930 3.609 2.821
-4.502 -0.080 -1.382
-1.924 -5.639 6.593
Nd H Ir Pd
2 12 2 4
direct
0.500 0.000 0.000 Nd
0.000 0.500 0.500 Nd
0.241 0.626 0.137 H
0.741 0.874 0.637 H
0.759 0.374 0.863 H
0.259 0.126 0.363 H
0.500 0.676 0.414 H
0.000 0.824 0.914 H
0.500 0.324 0.586 H
0.000 0.176 0.086 H
0.759 0.627 0.137 H
0.259 0.873 0.637 H
0.241 0.373 0.863 H
0.741 0.127 0.363 H
0.500 0.000 0.500 Ir
0.000 0.500 0.000 Ir
0.000 0.926 0.250 Pd
0.500 0.574 0.750 Pd
0.000 0.074 0.750 Pd
0.500 0.426 0.250 Pd

---

Entry 4:
NdH6IrPd | Alexandria | PBE-GGA | optimized geometry; volume = 85.9 Å³ per cell; calculated total energy = -4.640 eV/atom; space-group type = P312 (149); ρ = 8.67 g/cm³; density of states at the Fermi level = 1.9 states/eV per cell
1.0
4.848 0.000 0.000
2.424 4.198 0.000
0.000 0.000 4.223
Nd H Ir Pd
1 6 1 1
direct
0.000 0.000 0.000 Nd
0.025 0.485 0.232 H
0.485 0.025 0.768 H
0.490 0.485 0.768 H
0.025 0.490 0.768 H
0.485 0.490 0.232 H
0.490 0.025 0.232 H
0.333 0.333 0.500 Ir
0.667 0.667 0.500 Pd

---

Entry 5:
NdH4IrPt2 | Alexandria | PBE-GGA | optimized geometry; volume = 90.0 Å³ per cell; calculated total energy = -5.179 eV/atom; space-group type = C2 (5); ρ = 13.48 g/cm³; density of states at the Fermi level = 2.0 states/eV per cell
1.0
4.503 -0.422 -0.002
-0.414 4.658 -0.001
-2.042 -2.115 4.329
Nd H Ir Pt
1 4 1 2
direct
0.959 0.459 0.918 Nd
0.516 0.654 0.661 H
0.904 0.415 0.375 H
0.471 0.960 0.374 H
0.145 0.007 0.661 H
0.714 0.714 0.429 Ir
0.482 0.982 0.964 Pt
0.196 0.195 0.391 Pt

---

Entry 6:
Nd2H6IrRh | Alexandria | PBE-GGA | optimized geometry; volume = 105.5 Å³ per cell; calculated total energy = -5.110 eV/atom; space-group type = Fmmm (69); ρ = 9.28 g/cm³; density of states at the Fermi level = 3.7 states/eV per cell
1.0
5.302 -0.026 -0.002
-0.026 5.302 -0.002
-2.639 -2.639 3.755
Nd H Ir Rh
2 6 1 1
direct
0.750 0.250 0.500 Nd
0.250 0.750 0.500 Nd
0.756 0.756 0.000 H
0.756 0.756 0.512 H
0.244 0.244 0.000 H
0.757 0.243 0.000 H
0.244 0.244 0.488 H
0.243 0.758 0.000 H
0.000 0.000 0.000 Ir
0.500 0.500 0.000 Rh

---

Entry 7:
NdH8Ir2Rh | Alexandria | PBE-GGA | optimized geometry; volume = 109.0 Å³ per cell; calculated total energy = -4.870 eV/atom; space-group type = R-3 (148); ρ = 9.75 g/cm³; density of states at the Fermi level = 5.2 states/eV per cell
1.0
-3.336 -1.254 3.141
-3.964 -2.159 -1.480
0.031 -6.099 1.191
Nd H Ir Rh
1 8 2 1
direct
0.500 0.500 0.500 Nd
0.184 0.184 0.448 H
0.639 0.250 0.184 H
0.816 0.816 0.552 H
0.926 0.639 0.184 H
0.074 0.361 0.816 H
0.250 0.926 0.184 H
0.750 0.074 0.816 H
0.361 0.750 0.816 H
0.281 0.281 0.158 Ir
0.719 0.719 0.842 Ir
0.000 0.000 0.000 Rh

---

Entry 8:
Nd2H6IrRu | Alexandria | PBE-GGA | optimized geometry; volume = 104.8 Å³ per cell; calculated total energy = -5.231 eV/atom; space-group type = Fmmm (69); ρ = 9.32 g/cm³; density of states at the Fermi level = 2.9 states/eV per cell
1.0
5.285 0.008 -0.002
0.008 5.285 -0.002
2.645 2.646 3.748
Nd H Ir Ru
2 6 1 1
direct
0.750 0.250 0.500 Nd
0.250 0.750 0.500 Nd
0.250 0.250 0.498 H
0.750 0.750 0.999 H
0.250 0.750 0.000 H
0.750 0.250 0.000 H
0.250 0.250 0.001 H
0.750 0.750 0.502 H
0.000 0.000 0.000 Ir
0.500 0.500 0.000 Ru

---

Entry 9:
NdSiHIr2 | Alexandria | PBE-GGA | optimized geometry; volume = 151.8 Å³ per cell; calculated total energy = -6.959 eV/atom; space-group type = Cmcm (63); ρ = 12.21 g/cm³; density of states at the Fermi level = 7.6 states/eV per cell
1.0
-3.878 0.346 -0.371
1.235 -4.104 3.873
-0.061 4.890 5.201
Nd Si H Ir
2 2 2 4
direct
0.442 0.884 0.750 Nd
0.558 0.116 0.250 Nd
0.721 0.443 0.750 Si
0.279 0.557 0.250 Si
0.000 0.000 0.000 H
0.000 0.000 0.500 H
0.163 0.325 0.945 Ir
0.837 0.675 0.055 Ir
0.163 0.325 0.555 Ir
0.837 0.675 0.445 Ir

---

Entry 10:
Nd2Si2HIr2 | Alexandria | PBE-GGA | optimized geometry; volume = 122.4 Å³ per cell; calculated total energy = -6.743 eV/atom; space-group type = C2/m (12); ρ = 9.91 g/cm³; density of states at the Fermi level = 4.2 states/eV per cell
1.0
-2.231 -1.435 3.255
-2.806 -4.895 -1.373
2.849 -4.286 2.770
Nd Si H Ir
2 2 1 2
direct
0.565 0.164 0.705 Nd
0.435 0.836 0.295 Nd
0.151 0.407 0.292 Si
0.849 0.593 0.708 Si
0.000 0.000 0.000 H
0.215 0.684 0.885 Ir
0.785 0.316 0.115 Ir

---

Entry 11:
NdSiHIr | Alexandria | PBE-GGA | optimized geometry; volume = 127.8 Å³ per cell; calculated total energy = -6.492 eV/atom; space-group type = P4/nmm (129); ρ = 9.50 g/cm³; density of states at the Fermi level = 3.3 states/eV per cell
1.0
4.088 0.000 0.000
0.000 4.088 0.000
0.000 0.000 7.645
Nd Si H Ir
2 2 2 2
direct
0.500 0.000 0.661 Nd
0.000 0.500 0.339 Nd
0.000 0.500 0.831 Si
0.500 0.000 0.169 Si
0.000 0.000 0.500 H
0.500 0.500 0.500 H
0.500 0.500 0.000 Ir
0.000 0.000 0.000 Ir

---

Entry 12:
NdSnH8Ir2 | Alexandria | PBE-GGA | optimized geometry; volume = 124.5 Å³ per cell; calculated total energy = -4.464 eV/atom; space-group type = R-3 (148); ρ = 8.74 g/cm³; density of states at the Fermi level = 4.7 states/eV per cell
1.0
4.894 0.000 0.000
2.447 4.239 0.000
2.447 1.413 6.003
Nd Sn H Ir
1 1 8 2
direct
0.500 0.500 0.500 Nd
0.000 0.000 0.000 Sn
0.180 0.180 0.461 H
0.468 0.472 0.172 H
0.820 0.820 0.539 H
0.888 0.468 0.172 H
0.112 0.532 0.828 H
0.472 0.888 0.172 H
0.528 0.112 0.828 H
0.532 0.528 0.828 H
0.269 0.269 0.192 Ir
0.731 0.731 0.808 Ir